Entry from the Alexandria database: a relaxed structure of Li2BeSiO4 (PBE).

Calculated values
Total magnetization, μB per cell: 0.0
ΔE_f (raw), eV per formula unit: -20.97

Cell lengths 4.753, 4.991, 7.778 Å; angles 90.00, 127.64, 90.00 degrees
Space group Pc (No. 7)
Asymmetric unit:
Li 0.000 0.165 0.000 [2 per cell]
Li 0.747 0.325 0.247 [2 per cell]
Be 0.488 0.181 0.499 [2 per cell]
Si 0.239 0.320 0.750 [2 per cell]
O 0.176 0.201 0.531 [2 per cell]
O 0.360 0.363 0.282 [2 per cell]
O 0.543 0.140 0.965 [2 per cell]
O 0.862 0.299 0.718 [2 per cell]